(1)
4
Lattice="5.353 0.019 -0.064 3.414 4.123 -0.064 1.974 0.933 3.985" Properties=species:S:1:pos:R:3 comment="CaAg2Hg, optimized geometry, DFT PBE-GGA" magnetic_moment_mub_per_cell=0.00 delta_e_f_ev_per_atom=-0.25 pbc="T T T"
Ca 5.371 2.538 1.929
Hg 2.687 1.269 0.964
Ag 1.976 0.933 3.985
Ag 8.055 3.806 2.893

***

(2)
9
Lattice="4.857 0.000 0.000 -2.429 5.562 -0.560 0.000 -3.174 8.535" Properties=species:S:1:pos:R:3 comment="Ca3Ag4Hg2, optimized geometry, DFT PBE-GGA" magnetic_moment_mub_per_cell=0.00 delta_e_f_ev_per_atom=-0.33 pbc="T T T"
Ca 2.429 -0.400 5.596
Ca 0.000 0.000 0.000
Ca 0.000 2.788 2.378
Ag 2.429 2.394 0.268
Ag 0.000 -0.006 7.707
Ag 2.429 2.948 4.646
Ag 0.000 -0.559 3.329
Hg 2.429 0.509 2.367
Hg 0.000 1.880 5.608